1.
A relaxed structure of UAs4Pd6, computed with PBE.

a = 3.975 Å, b = 7.438 Å, c = 7.438 Å
α = 120.00°, β = 90.00°, γ = 90.00°
Last column: magnetic moment on the atom in μB.
Element x y z (fractional)
As 0.000 0.333 0.667  0.03
As 0.500 0.816 0.184  0.02
As 0.500 0.816 0.631  0.02
As 0.500 0.369 0.184  0.02
Pd 0.500 0.200 0.800  0.05
Pd 0.000 0.537 0.463  0.05
Pd 0.000 0.537 0.074  0.05
Pd 0.500 0.600 0.800  0.05
Pd 0.500 0.200 0.400  0.05
Pd 0.000 0.926 0.463  0.05
U 0.000 0.000 0.000  2.54

- Space-group type: No. 187



2.
A relaxed structure of TcPb2Se, computed with PBE.

a = 6.406 Å, b = 6.406 Å, c = 7.901 Å
α = 66.08°, β = 66.08°, γ = 90.00°
Element x y z (fractional)
Pb 0.661 0.125 0.250
Pb 0.089 0.625 0.250
Pb 0.375 0.339 0.750
Pb 0.875 0.911 0.750
Se 0.250 0.750 0.500
Se 0.500 0.500 0.000
Tc 0.000 0.000 0.000
Tc 0.750 0.250 0.500

- Uncorrected formation energy: 3.0 eV per formula unit
- Relative energy among the computed polymorphs: 732 meV per atom
- Space-group type: No. 122



3.
A relaxed structure of Er3Ga4Pd, computed with PBE.

a = 3.526 Å, b = 5.997 Å, c = 9.082 Å
α = 109.28°, β = 101.19°, γ = 90.00°
Element x y z (fractional)
Er 0.000 0.500 0.000
Er 0.225 0.225 0.450
Er 0.775 0.775 0.550
Ga 0.381 0.145 0.762
Ga 0.381 0.617 0.762
Ga 0.619 0.855 0.238
Ga 0.619 0.383 0.238
Pd 0.500 0.000 0.000

- Space-group type: No. 71



4.
A relaxed structure of K3HgC, computed with PBE.

a = 5.821 Å, b = 5.821 Å, c = 5.821 Å
α = 90.00°, β = 90.00°, γ = 90.00°
Last column: magnetic moment on the atom in μB.
Element x y z (fractional)
K 0.000 0.000 0.500  0.01
K 0.500 0.000 0.000  0.01
K 0.000 0.500 0.000  0.01
C 0.000 0.000 0.000  0.84
Hg 0.500 0.500 0.500  -0.07

- Relative energy among the computed polymorphs: 0 meV per atom
- Space-group type: No. 221



5.
A relaxed structure of Tm4Se, computed with PBE.

a = 5.362 Å, b = 5.362 Å, c = 5.362 Å
α = 90.00°, β = 90.00°, γ = 90.00°
Last column: magnetic moment on the atom in μB.
Element x y z (fractional)
Tm 0.500 0.000 0.500  0.26
Tm 0.000 0.500 0.500  0.26
Tm 0.000 0.000 0.000  0.27
Tm 0.500 0.500 0.000  0.26
Se 0.500 0.500 0.500  0.02

- Uncorrected formation energy: -1.9 eV per formula unit
- Space-group type: No. 221



6.
A relaxed structure of ReNi2IBr, computed with PBE.

a = 4.781 Å, b = 5.090 Å, c = 4.781 Å
α = 90.00°, β = 90.00°, γ = 90.00°
Last column: magnetic moment on the atom in μB.
Element x y z (fractional)
I 0.000 0.500 0.000  0.01
Ni 0.000 0.000 0.500  0.38
Ni 0.500 0.000 0.000  0.26
Re 0.000 0.000 0.000  0.09
Br 0.500 0.500 0.500  0.08

- Uncorrected formation energy: 6.4 eV per formula unit
- Space-group type: No. 123



7.
A relaxed structure of ScSbAuN2, computed with PBE.

a = 4.066 Å, b = 5.956 Å, c = 4.066 Å
α = 90.00°, β = 90.00°, γ = 90.00°
Element x y z (fractional)
N 0.000 0.000 0.500
N 0.500 0.000 0.000
Sc 0.000 0.500 0.000
Sb 0.000 0.000 0.000
Au 0.500 0.500 0.500

- Uncorrected formation energy: 5.6 eV per formula unit
- Space-group type: No. 123



8.
A relaxed structure of AsPIO2, computed with PBE.

a = 3.818 Å, b = 3.818 Å, c = 5.508 Å
α = 90.00°, β = 90.00°, γ = 90.00°
Element x y z (fractional)
O 0.500 0.000 0.000
O 0.000 0.500 0.000
I 0.500 0.500 0.500
P 0.000 0.000 0.500
As 0.000 0.000 0.000

- Uncorrected formation energy: -0.3 eV per formula unit
- Relative energy among the computed polymorphs: 0 meV per atom
- Space-group type: No. 123



9.
A relaxed structure of CsCdRe, computed with PBE.

a = 13.499 Å, b = 4.403 Å, c = 7.616 Å
α = 90.00°, β = 101.15°, γ = 90.00°
Element x y z (fractional)
Cd 0.114 0.000 0.539
Cd 0.114 0.500 0.039
Cd 0.886 0.500 0.961
Cd 0.886 0.000 0.461
Re 0.011 0.000 0.837
Re 0.989 0.500 0.663
Re 0.011 0.500 0.337
Re 0.989 0.000 0.163
Cs 0.318 0.000 0.276
Cs 0.318 0.500 0.776
Cs 0.682 0.500 0.224
Cs 0.682 0.000 0.724

- Relative energy among the computed polymorphs: 0 meV per atom
- Space-group type: No. 12



DFT total energy (computed, eV per atom): -5.96, -4.57, -4.33, -1.81, -4.66, -4.17, -4.95, -4.37, -4.24